Compound: Sm2YScAs4
Source: Alexandria
Functional: PBE
Structure: relaxed

Unit cell a=7.1152 b=4.1194 c=7.1261 alpha=90.00 beta=109.51 gamma=90.00
Element x y z (fractional)
1 Sm 0.0000 0.0000 0.0000
2 Sm 0.0000 0.5000 0.5000
3 Y 0.5000 0.0000 0.5000
4 Sc 0.5000 0.5000 0.0000
5 As 0.2604 0.5000 0.2468
6 As 0.2653 0.0000 0.7617
7 As 0.7347 0.0000 0.2383
8 As 0.7396 0.5000 0.7532

Output
crystal system	monoclinic
space-group type	P2/m
formation enthalpy at 0 K	-1.47	eV/atom
total moment	0.00	μB per atom
VASP energy	-6.579	eV/atom